Entry from the Alexandria database: a relaxed structure of Ni2PbW (GGA-PBE).

a = 2.9929 Å, b = 2.9929 Å, c = 25.6793 Å
α = 90.00°, β = 90.00°, γ = 120.00°
Positions (direct):
Ni 0.0000 0.0000 0.2403
Ni 0.0000 0.0000 0.7597
Ni 0.3333 0.6667 0.4264
Ni 0.3333 0.6667 0.9070
Ni 0.6667 0.3333 0.0930
Ni 0.6667 0.3333 0.5736
Pb 0.0000 0.0000 0.0000
Pb 0.3333 0.6667 0.6667
Pb 0.6667 0.3333 0.3333
W 0.0000 0.0000 0.5000
W 0.3333 0.6667 0.1667
W 0.6667 0.3333 0.8333

Calculated values
N(E_F) (states/eV/cell): 11.2
SG: R-3m (166)
VASP energy (eV per atom): -6.562
Density (g cm⁻³): 12.7


Entry from the Alexandria database: a relaxed structure of Ca2InPbS4 (GGA-PBE).

a = 8.2258 Å, b = 8.2258 Å, c = 8.2258 Å
α = 120.04°, β = 119.97°, γ = 89.98°
Positions (direct):
Ca 0.0000 0.0000 0.0000
Ca 0.5000 0.0000 0.0000
Ca 0.5000 0.0000 0.5000
Ca 0.5000 0.5000 0.5000
In 0.0000 0.0000 0.5000
In 0.0000 0.5000 0.0000
Pb 0.0000 0.5000 0.5000
Pb 0.5000 0.5000 0.0000
S 0.2482 0.2440 0.0042
S 0.2519 0.2403 0.4884
S 0.2519 0.7635 0.0116
S 0.2602 0.7560 0.5042
S 0.7398 0.2440 0.4958
S 0.7481 0.2365 0.9884
S 0.7481 0.7597 0.5116
S 0.7518 0.7560 0.9958

Calculated values
N(E_F) (states/eV/cell): 8.2
SG: Imma (74)
VASP energy (eV per atom): -4.598
Density (g cm⁻³): 4.5
Raw formation energy (kJ per mole of atoms): -118.50


Entry from the Alexandria database: a relaxed structure of Be2VRu (GGA-PBE).

a = 3.1158 Å, b = 3.1158 Å, c = 16.2324 Å
α = 90.00°, β = 90.00°, γ = 120.00°
Positions (direct):
Be 0.0000 0.0000 0.2464
Be 0.0000 0.0000 0.7536
Be 0.3333 0.6667 0.4202
Be 0.3333 0.6667 0.9131
Be 0.6667 0.3333 0.0869
Be 0.6667 0.3333 0.5798
V 0.0000 0.0000 0.0000
V 0.3333 0.6667 0.6667
V 0.6667 0.3333 0.3333
Ru 0.0000 0.0000 0.5000
Ru 0.3333 0.6667 0.1667
Ru 0.6667 0.3333 0.8333

Calculated values
N(E_F) (states/eV/cell): 5.4
SG: R-3m (166)
VASP energy (eV per atom): -6.244
Density (g cm⁻³): 6.2
E above lowest polymorph (eV per atom): 0.368


Entry from the Alexandria database: a relaxed structure of Pm2Mn2VN6 (GGA-PBE).

a = 6.0342 Å, b = 6.0342 Å, c = 6.0342 Å
α = 55.35°, β = 55.35°, γ = 55.35°
Positions (direct):
Pm 0.2228 0.2228 0.2228
Pm 0.7772 0.7772 0.7772
Mn 0.4340 0.4340 0.4340
Mn 0.5660 0.5660 0.5660
V 0.0000 0.0000 0.0000
N 0.2382 0.2382 0.7584
N 0.2382 0.7584 0.2382
N 0.2416 0.7618 0.7618
N 0.7584 0.2382 0.2382
N 0.7618 0.2416 0.7618
N 0.7618 0.7618 0.2416

Calculated values
N(E_F) (states/eV/cell): 5.9
SG: R-3m (166)
VASP energy (eV per atom): -8.524
Density (g cm⁻³): 6.4
Raw formation energy (kJ per mole of atoms): -60.14